Compound: Y3Pt
Source: the Alexandria database
Functional: SCAN
Structure: single point on PBEsol structure

Unit cell a=6.9663 b=9.4467 c=6.4191 alpha=90.00 beta=90.00 gamma=90.00
Element x y z (fractional)
Y1 0.0257 0.2500 0.1291
Y2 0.1799 0.0605 0.6790
Y3 0.1799 0.4395 0.6790
Y4 0.3201 0.5605 0.1790
Y5 0.3201 0.9395 0.1790
Y6 0.4743 0.7500 0.6291
Y7 0.5257 0.2500 0.3709
Y8 0.6799 0.0605 0.8210
Y9 0.6799 0.4395 0.8210
Y10 0.8201 0.5605 0.3210
Y11 0.8201 0.9395 0.3210
Y12 0.9743 0.7500 0.8709
Pt1 0.1111 0.7500 0.4511
Pt2 0.3889 0.2500 0.9511
Pt3 0.6111 0.7500 0.0489
Pt4 0.8889 0.2500 0.5489

Computed properties:
The calculation puts the total moment at 0.000 μB per cell. The formation enthalpy at 0 K is -0.8744 eV/atom. As for the total energy: -39.3048 eV per atom. Its crystal system is orthorhombic.